# 1
{"formula": "K3AuF", "functional": "meta-GGA SCAN", "state": "PBEsol geometry", "lattice_angstrom": [[5.203, 0.000, 0.000], [0.000, 5.203, 0.000], [0.000, 0.000, 5.203]], "species": ["K", "K", "K", "Au", "F"], "fractional_positions": [[0.000, 0.500, 0.000], [0.000, 0.000, 0.500], [0.500, 0.000, 0.000], [0.500, 0.500, 0.500], [0.000, 0.000, 0.000]], "space_group": "No. 221", "raw_formation_energy_ev_per_atom": -1.2975, "density_kg_m3": 3929}

# 2
{"formula": "K2AuF", "functional": "meta-GGA SCAN", "state": "PBEsol geometry", "lattice_angstrom": [[-6.603, -1.327, 0.498], [3.519, -5.243, -2.393], [2.854, 1.212, 5.999]], "species": ["K", "K", "K", "K", "Au", "Au", "F", "F"], "fractional_positions": [[0.919, 0.544, 0.125], [0.081, 0.206, 0.625], [0.581, 0.375, 0.456], [0.419, 0.875, 0.794], [0.000, 0.000, 0.000], [0.500, 0.750, 0.250], [0.000, 0.500, 0.500], [0.500, 0.250, 0.750]], "space_group": "No. 122", "raw_formation_energy_ev_per_atom": -1.5357, "density_kg_m3": 4154}

# 3
{"formula": "K2LiAuF", "functional": "meta-GGA SCAN", "state": "PBEsol geometry", "lattice_angstrom": [[4.483, 0.000, 0.000], [0.000, 6.390, 0.000], [0.000, 0.000, 6.390]], "species": ["K", "K", "Li", "Au", "F"], "fractional_positions": [[0.000, 0.000, 0.500], [0.000, 0.500, 0.000], [0.500, 0.500, 0.500], [0.000, 0.000, 0.000], [0.500, 0.000, 0.000]], "space_group": "No. 123", "raw_formation_energy_ev_per_atom": -0.3720, "density_kg_m3": 2732}